Below is a relaxed ZnSiPb3 crystal, with properties calculated at the PBE-GGA level.

The final energy comes out at -2.952 eV/atom. The calculation puts the uncorrected formation energy at 59.1 kJ/mol of atoms. The energy above the most stable polymorph in this dataset comes out at 0.0000 eV per atom. The total magnetization is 0.00 μB/f.u.

It has space group Pm-3m (No. 221), with a = 5.4673 Å, b = 5.4673 Å, c = 5.4673 Å, α = 90.00°, β = 90.00° and γ = 90.00°. The distinct sites, in fractional coordinates, are Zn at (0.0000, 0.0000, 0.0000), Si at (0.5000, 0.5000, 0.5000) and Pb at (0.0000, 0.5000, 0.5000).